## Y6Bi2Rh (PBE)

Data for a geometry-optimized Y6Bi2Rh structure.

Values from the calculation:
Energy relative to the elements, kJ per mole of atoms: -53
SG: P2_1/c (14)
Energy, eV per atom: -6.541

abc: 6.5029 8.0018 10.3245
angles: 90.00 91.71 90.00
With the nearest neighbours (Å) after each atom.
Positions (direct):
Y 0.6358 0.1877 0.5420  1 Rh 2.85, 1 Bi 3.16
Y 0.3676 0.5228 0.7483  1 Rh 2.72
Y 0.1324 0.0228 0.7517  1 Rh 2.72
Y 0.3644 0.8213 0.0436  1 Rh 2.76
Y 0.8676 0.9772 0.2483  1 Rh 2.72
Y 0.1356 0.3213 0.4564  1 Rh 2.76
Y 0.3642 0.8123 0.4580  1 Rh 2.85, 1 Bi 3.16
Y 0.8642 0.6877 0.9580  1 Rh 2.85, 1 Bi 3.16
Y 0.1358 0.3123 0.0420  1 Rh 2.85, 1 Bi 3.16
Y 0.8644 0.6787 0.5436  1 Rh 2.76
Y 0.6356 0.1787 0.9564  1 Rh 2.76
Y 0.6324 0.4772 0.2517  1 Rh 2.72
Rh 0.0000 0.0000 0.5000  6 Y 2.72-2.85
Rh 0.5000 0.5000 0.0000  6 Y 2.72-2.85
Bi 0.0965 0.6155 0.2478  8 Y 3.16-3.48
Bi 0.4035 0.1155 0.2522  8 Y 3.16-3.48
Bi 0.9035 0.3845 0.7522  8 Y 3.16-3.48
Bi 0.5965 0.8845 0.7478  8 Y 3.16-3.48